1.
VHg2Pt: relaxed, PBE.

Unit cell a=7.708 b=7.708 c=6.115 alpha=50.93 beta=50.93 gamma=90.00
Last column: magnetic moment on the atom in μB.
Sites, in units of the cell vectors:
Hg 0.631 0.125 0.250  0.02
Hg 0.119 0.625 0.250  0.02
Hg 0.375 0.369 0.750  0.02
Hg 0.875 0.881 0.750  0.02
Pt 0.000 0.000 0.000  -0.01
Pt 0.750 0.250 0.500  -0.01
V 0.500 0.500 0.000  2.47
V 0.250 0.750 0.500  2.47

Values from the calculation:
Energy above the most stable polymorph in this dataset ... 6.11 kcal/mol of atoms
Calculated volume ... 165 Å³/cell
Energy relative to the elements ... 1.91 eV per formula unit
Space-group type ... I-42d
N(E_F) ... 9.94 states/eV per cell

=====

2.
TaOs5: relaxed, PBE.

Unit cell a=5.108 b=5.108 c=5.108 alpha=60.00 beta=60.00 gamma=60.00
Sites, in units of the cell vectors:
Ta 0.000 0.000 0.000
Os 0.624 0.624 0.128
Os 0.250 0.250 0.250
Os 0.624 0.624 0.624
Os 0.128 0.624 0.624
Os 0.624 0.128 0.624

Values from the calculation:
Energy above the most stable polymorph in this dataset ... 11.86 kcal/mol of atoms
Calculated volume ... 94 Å³/cell
Energy relative to the elements ... 2.63 eV per formula unit
Space-group type ... F-43m
N(E_F) ... 11.16 states/eV per cell

=====

3.
LaY2AgH: relaxed, PBE.

Unit cell a=4.900 b=4.900 c=4.918 alpha=90.00 beta=90.00 gamma=90.00
Sites, in units of the cell vectors:
Y 0.000 0.500 0.000
Y 0.500 0.000 0.000
H 0.000 0.000 0.000
Ag 0.500 0.500 0.500
La 0.000 0.000 0.500

Values from the calculation:
Total energy ... -4.950 eV per atom
Calculated volume ... 118 Å³/cell
Space-group type ... P4/mmm
N(E_F) ... 7.68 states/eV per cell

=====

4.
KCoPt2: relaxed, PBE.

Unit cell a=6.365 b=6.365 c=6.195 alpha=62.62 beta=62.62 gamma=24.85
Last column: magnetic moment on the atom in μB.
Sites, in units of the cell vectors:
Co 0.572 0.572 0.327  1.94
K 0.724 0.724 0.750  -0.01
Pt 0.948 0.948 0.195  0.25
Pt 0.256 0.256 0.228  0.22

Values from the calculation:
Energy above the most stable polymorph in this dataset ... 2.90 kcal/mol of atoms
Calculated volume ... 93 Å³/cell
Energy relative to the elements ... 0.92 eV per formula unit
Space-group type ... Cm
N(E_F) ... 3.94 states/eV per cell

=====

5.
LiAcNi2: relaxed, PBE.

Unit cell a=4.234 b=4.599 c=4.599 alpha=115.34 beta=90.00 gamma=90.00
Sites, in units of the cell vectors:
Li 0.500 0.554 0.446
Ac 0.000 0.054 0.946
Ni 0.500 0.054 0.446
Ni 0.500 0.554 0.946

Values from the calculation:
Energy above the most stable polymorph in this dataset ... 2.81 kcal/mol of atoms
Calculated volume ... 81 Å³/cell
Energy relative to the elements ... 0.02 eV per formula unit
Space-group type ... Cmmm
N(E_F) ... 2.07 states/eV per cell

=====

6.
Fe3Co4: relaxed, PBE.

Unit cell a=3.596 b=4.316 c=5.692 alpha=98.73 beta=90.00 gamma=114.62
Last column: magnetic moment on the atom in μB.
Sites, in units of the cell vectors:
Fe 0.004 0.008 0.990  2.58
Fe 0.719 0.438 0.145  2.62
Fe 0.136 0.273 0.437  2.60
Co 0.424 0.849 0.287  1.64
Co 0.853 0.707 0.575  1.58
Co 0.571 0.143 0.710  1.60
Co 0.291 0.583 0.855  1.58

Values from the calculation:
Energy above the most stable polymorph in this dataset ... 1.55 kcal/mol of atoms
Calculated volume ... 79 Å³/cell
Energy relative to the elements ... 0.21 eV per formula unit
Space-group type ... Cm
N(E_F) ... 5.92 states/eV per cell

=====

7.
LiMg6Nb: relaxed, PBE.

Unit cell a=6.258 b=6.258 c=4.946 alpha=90.00 beta=90.00 gamma=120.04
Sites, in units of the cell vectors:
Li 0.083 0.917 0.000
Mg 0.098 0.424 0.000
Mg 0.576 0.902 0.000
Mg 0.576 0.424 0.000
Mg 0.416 0.083 0.500
Mg 0.917 0.584 0.500
Mg 0.917 0.083 0.500
Nb 0.417 0.583 0.500

Values from the calculation:
Energy above the most stable polymorph in this dataset ... 0.14 kcal/mol of atoms
Calculated volume ... 168 Å³/cell
Energy relative to the elements ... 0.86 eV per formula unit
Space-group type ... Amm2
N(E_F) ... 6.99 states/eV per cell

=====

8.
ZnTe2Os: relaxed, PBE.

Unit cell a=3.134 b=3.134 c=10.515 alpha=90.00 beta=90.00 gamma=118.00
Sites, in units of the cell vectors:
Os 0.500 0.500 0.750
Te 0.000 0.000 0.958
Te 0.000 0.000 0.542
Zn 0.500 0.500 0.250

Values from the calculation:
Formation energy without anion corrections ... 64.2 kJ per mole of atoms
Calculated volume ... 91 Å³/cell
Space-group type ... Cmmm
N(E_F) ... 2.27 states/eV per cell

=====

9.
LaGdHoGa: relaxed, PBE.

Unit cell a=5.429 b=5.429 c=5.429 alpha=60.00 beta=60.00 gamma=60.00
Last column: magnetic moment on the atom in μB.
Sites, in units of the cell vectors:
Gd 0.000 0.000 0.000  7.29
Ho 0.750 0.750 0.750  0.37
Ga 0.250 0.250 0.250  -0.02
La 0.500 0.500 0.500  0.16

Values from the calculation:
Calculated volume ... 113 Å³/cell
Energy relative to the elements ... -0.51 eV per formula unit
Space-group type ... F-43m
N(E_F) ... 4.44 states/eV per cell

=====

10.
ZrMnRe3: relaxed, PBE.

Unit cell a=4.718 b=4.718 c=4.718 alpha=90.00 beta=90.00 gamma=90.00
Last column: magnetic moment on the atom in μB.
Sites, in units of the cell vectors:
Re 0.000 0.500 0.000  0.11
Re 0.000 0.000 0.500  0.05
Re 0.500 0.000 0.000  0.09
Mn 0.500 0.500 0.500  -0.28
Zr 0.000 0.000 0.000  0.00

Values from the calculation:
Calculated volume ... 105 Å³/cell
Energy relative to the elements ... 15.05 eV per formula unit
Space-group type ... Pm-3m
N(E_F) ... 8.85 states/eV per cell

=====

11.
Mg2GaBr: relaxed, PBE.

Unit cell a=6.974 b=6.974 c=6.925 alpha=59.76 beta=59.76 gamma=90.00
Sites, in units of the cell vectors:
Mg 0.613 0.125 0.250
Mg 0.137 0.625 0.250
Mg 0.375 0.387 0.750
Mg 0.875 0.863 0.750
Ga 0.500 0.500 0.000
Ga 0.250 0.750 0.500
Br 0.000 0.000 0.000
Br 0.750 0.250 0.500

Values from the calculation:
Energy above the most stable polymorph in this dataset ... 0.00 kcal/mol of atoms
Formation energy without anion corrections ... -17.9 kJ per mole of atoms
Calculated volume ... 236 Å³/cell
Space-group type ... I-42d
N(E_F) ... 2.38 states/eV per cell

=====

12.
Ba2SbTe2: relaxed, PBE.

Unit cell a=4.510 b=4.510 c=10.062 alpha=77.05 beta=77.05 gamma=90.00
Sites, in units of the cell vectors:
Sb 0.000 0.000 0.000
Te 0.750 0.250 0.500
Te 0.250 0.750 0.500
Ba 0.399 0.399 0.203
Ba 0.601 0.601 0.797

Values from the calculation:
Energy above the most stable polymorph in this dataset ... 3.49 kcal/mol of atoms
Formation energy without anion corrections ... -92.7 kJ per mole of atoms
Calculated volume ... 194 Å³/cell
Space-group type ... I4/mmm
N(E_F) ... 2.68 states/eV per cell

=====

13.
In2TeIr: relaxed, PBE.

Unit cell a=8.175 b=8.175 c=8.175 alpha=26.48 beta=26.48 gamma=26.48
Sites, in units of the cell vectors:
In 0.987 0.987 0.987
In 0.513 0.513 0.513
Ir 0.250 0.250 0.250
Te 0.750 0.750 0.750

Values from the calculation:
Formation energy without anion corrections ... 16.9 kJ per mole of atoms
Calculated volume ... 96 Å³/cell
Space-group type ... R-3m
N(E_F) ... 2.38 states/eV per cell

=====

14.
ZrSb2S2: relaxed, PBE.

Unit cell a=4.515 b=4.515 c=6.696 alpha=70.30 beta=70.30 gamma=90.00
Sites, in units of the cell vectors:
Sb 0.377 0.377 0.247
Sb 0.623 0.623 0.753
S 0.750 0.250 0.500
S 0.250 0.750 0.500
Zr 0.000 0.000 0.000

Values from the calculation:
Energy above the most stable polymorph in this dataset ... 10.49 kcal/mol of atoms
Formation energy without anion corrections ... 49.7 kJ per mole of atoms
Calculated volume ... 120 Å³/cell
Space-group type ... I4/mmm
N(E_F) ... 5.00 states/eV per cell

=====

15.
Ac3Si3Pd2: relaxed, PBE.

Unit cell a=4.441 b=6.250 c=15.336 alpha=90.00 beta=90.00 gamma=110.81
Sites, in units of the cell vectors:
Ac 0.921 0.843 0.394
Ac 0.079 0.157 0.894
Ac 0.921 0.843 0.106
Ac 0.079 0.157 0.606
Ac 0.636 0.272 0.250
Ac 0.364 0.728 0.750
Si 0.650 0.299 0.462
Si 0.350 0.701 0.962
Si 0.650 0.299 0.038
Si 0.350 0.701 0.538
Si 0.333 0.667 0.250
Si 0.667 0.333 0.750
Pd 0.788 0.576 0.902
Pd 0.212 0.424 0.402
Pd 0.788 0.576 0.598
Pd 0.212 0.424 0.098

Values from the calculation:
Energy above the most stable polymorph in this dataset ... 2.32 kcal/mol of atoms
Formation energy without anion corrections ... -67.6 kJ per mole of atoms
Calculated volume ... 398 Å³/cell
Space-group type ... Cmcm
N(E_F) ... 13.19 states/eV per cell

=====

16.
Pm2CuBPt6: relaxed, PBE.

Unit cell a=5.619 b=7.412 c=7.412 alpha=44.55 beta=67.73 gamma=90.00
Sites, in units of the cell vectors:
Pm 0.709 0.291 0.583
Pm 0.291 0.709 0.417
Cu 0.000 0.000 0.000
B 0.500 0.500 0.000
Pt 0.264 0.223 0.473
Pt 0.777 0.736 0.960
Pt 0.264 0.736 0.960
Pt 0.736 0.264 0.040
Pt 0.223 0.264 0.041
Pt 0.736 0.777 0.527

Values from the calculation:
Calculated volume ... 182 Å³/cell
Energy relative to the elements ... -7.99 eV per formula unit
Space-group type ... R-3m
N(E_F) ... 3.29 states/eV per cell

=====

17.
Pr2Ga2Ir: relaxed, PBE.

Unit cell a=4.001 b=4.323 c=7.180 alpha=107.52 beta=90.00 gamma=90.00
Sites, in units of the cell vectors:
Pr 0.000 0.681 0.362
Pr 0.000 0.941 0.881
Ga 0.500 0.304 0.608
Ga 0.500 0.505 0.011
Ir 0.500 0.111 0.222

Values from the calculation:
Energy above the most stable polymorph in this dataset ... 1.15 kcal/mol of atoms
Calculated volume ... 118 Å³/cell
Energy relative to the elements ... -3.13 eV per formula unit
Space-group type ... Amm2
N(E_F) ... 3.11 states/eV per cell

=====

18.
HoEr2Zn2Ga2: relaxed, PBE.

Unit cell a=4.429 b=4.429 c=9.354 alpha=76.31 beta=76.31 gamma=60.00
Sites, in units of the cell vectors:
Ho 0.000 0.000 0.000
Er 0.127 0.127 0.620
Er 0.873 0.873 0.380
Zn 0.602 0.602 0.194
Zn 0.398 0.398 0.806
Ga 0.738 0.738 0.787
Ga 0.262 0.262 0.213

Values from the calculation:
Calculated volume ... 153 Å³/cell
Energy relative to the elements ... -2.73 eV per formula unit
Space-group type ... R-3m
N(E_F) ... 3.24 states/eV per cell

=====

19.
MnGaMoP: relaxed, PBE.

Unit cell a=3.833 b=2.915 c=9.782 alpha=90.00 beta=90.00 gamma=90.00
Last column: magnetic moment on the atom in μB.
Sites, in units of the cell vectors:
Mn 0.000 0.000 0.625  0.73
Mn 0.500 0.500 0.125  0.73
Ga 0.000 0.000 0.181  -0.03
Ga 0.500 0.500 0.681  -0.03
Mo 0.000 0.500 0.878  -0.09
Mo 0.500 0.000 0.378  -0.09
P 0.000 0.500 0.447  -0.02
P 0.500 0.000 0.947  -0.02

Values from the calculation:
Energy above the most stable polymorph in this dataset ... 0.87 kcal/mol of atoms
Calculated volume ... 109 Å³/cell
Energy relative to the elements ... -0.90 eV per formula unit
Space-group type ... Imm2
N(E_F) ... 5.57 states/eV per cell

=====

20.
Li4In6Bi: relaxed, PBE.

Unit cell a=6.669 b=8.032 c=6.669 alpha=65.47 beta=90.00 gamma=114.53
Sites, in units of the cell vectors:
Li 0.617 0.690 0.383
Li 0.927 0.310 0.617
Li 0.073 0.690 0.927
Li 0.383 0.310 0.073
In 0.458 0.251 0.542
In 0.793 0.251 0.207
In 0.542 0.749 0.793
In 0.000 0.000 0.500
In 0.207 0.749 0.458
In 0.500 0.000 0.000
Bi 0.000 0.000 0.000

Values from the calculation:
Calculated volume ... 289 Å³/cell
Energy relative to the elements ... -0.86 eV per formula unit
Space-group type ... I-42m
N(E_F) ... 3.15 states/eV per cell

=====

21.
SiTcW2: relaxed, PBE.

Unit cell a=5.018 b=5.018 c=5.018 alpha=136.29 beta=136.29 gamma=63.54
Sites, in units of the cell vectors:
Si 0.250 0.750 0.500
Tc 0.750 0.250 0.500
W 0.000 0.000 0.000
W 0.500 0.500 0.000

Values from the calculation:
Formation energy without anion corrections ... 5.1 kJ per mole of atoms
Calculated volume ... 60 Å³/cell
Space-group type ... I4/mmm
N(E_F) ... 2.97 states/eV per cell

=====

22.
Sc2As: relaxed, PBE.

Unit cell a=5.583 b=5.583 c=7.040 alpha=70.44 beta=70.44 gamma=36.79
Last column: magnetic moment on the atom in μB.
Sites, in units of the cell vectors:
Sc 0.361 0.361 0.543  0.24
Sc 0.656 0.656 0.907  0.31
Sc 0.344 0.344 0.093  0.31
Sc 0.639 0.639 0.457  0.24
As 0.037 0.037 0.226  -0.01
As 0.963 0.963 0.774  -0.01

Values from the calculation:
Calculated volume ... 123 Å³/cell
Energy relative to the elements ... -2.20 eV per formula unit
Space-group type ... C2/m
N(E_F) ... 5.00 states/eV per cell

=====

23.
Zr2GeH: relaxed, PBE.

Unit cell a=6.440 b=6.440 c=5.534 alpha=54.41 beta=54.41 gamma=90.00
Sites, in units of the cell vectors:
H 0.500 0.500 0.000
H 0.250 0.750 0.500
Ge 0.000 0.000 0.000
Ge 0.750 0.250 0.500
Zr 0.550 0.125 0.250
Zr 0.200 0.625 0.250
Zr 0.375 0.450 0.750
Zr 0.875 0.800 0.750

Values from the calculation:
Energy above the most stable polymorph in this dataset ... 1.09 kcal/mol of atoms
Calculated volume ... 130 Å³/cell
Space-group type ... I-42d
N(E_F) ... 1.34 states/eV per cell

=====

24.
ZnCrCd2: relaxed, PBE.

Unit cell a=5.069 b=5.069 c=5.139 alpha=78.08 beta=78.08 gamma=35.39
Last column: magnetic moment on the atom in μB.
Sites, in units of the cell vectors:
Cd 0.993 0.993 0.010  -0.03
Cd 0.756 0.756 0.734  -0.01
Cr 0.509 0.509 0.489  3.53
Zn 0.242 0.242 0.266  -0.02

Values from the calculation:
Calculated volume ... 75 Å³/cell
Energy relative to the elements ... 1.04 eV per formula unit
Space-group type ... Cm
N(E_F) ... 1.66 states/eV per cell

=====

25.
LiZnFePd2: relaxed, PBE.

Unit cell a=4.639 b=4.174 c=4.639 alpha=90.00 beta=90.00 gamma=90.00
Last column: magnetic moment on the atom in μB.
Sites, in units of the cell vectors:
Zn 0.000 0.000 0.000  -0.01
Fe 0.500 0.500 0.500  3.34
Pd 0.000 0.000 0.500  0.03
Pd 0.500 0.000 0.000  0.04
Li 0.000 0.500 0.000  -0.01

Values from the calculation:
Calculated volume ... 90 Å³/cell
Energy relative to the elements ... 2.79 eV per formula unit
Space-group type ... P4/mmm
N(E_F) ... 6.66 states/eV per cell

=====

26.
TmPuMo4: relaxed, PBE.

Unit cell a=5.476 b=5.476 c=5.476 alpha=60.00 beta=60.00 gamma=60.00
Last column: magnetic moment on the atom in μB.
Sites, in units of the cell vectors:
Mo 0.625 0.625 0.126  -0.07
Mo 0.625 0.126 0.625  -0.07
Mo 0.625 0.625 0.625  -0.07
Mo 0.126 0.625 0.625  -0.07
Tm 0.000 0.000 0.000  0.04
Pu 0.250 0.250 0.250  4.97

Values from the calculation:
Calculated volume ... 116 Å³/cell
Energy relative to the elements ... 1.24 eV per formula unit
Space-group type ... F-43m
N(E_F) ... 14.89 states/eV per cell